No. 1
## ScFeRu2C (PBE-GGA)

Data for a relaxed ScFeRu2C crystal.

Cell and atoms, written as POSCAR:
```
ScFeRu2C
1.0
4.306 0.000 0.000
0.000 4.700 0.000
0.000 0.000 4.306
Sc Ru C Fe
1 2 1 1
Direct
0.000 0.500 0.000 Sc
0.000 0.000 0.500 Ru
0.500 0.000 0.000 Ru
0.500 0.500 0.500 C
0.000 0.000 0.000 Fe
```

**DFT formation energy**: 1.810 eV/atom
**Calculated volume**: 87 Å³/cell
**SG**: P4/mmm
**Electronic total energy**: -6.70 eV per atom
**Relative energy among the computed polymorphs**: 2054 meV per atom



No. 2
## SrYAg2 (PBE-GGA)

Data for a relaxed SrYAg2 crystal.

Cell and atoms, written as POSCAR:
```
SrYAg2
1.0
8.158 0.000 0.000
0.000 8.158 0.000
4.079 4.079 3.738
Y Sr Ag
2 2 4
Direct
0.000 0.000 0.000 Y
0.750 0.250 0.500 Y
0.500 0.500 0.000 Sr
0.250 0.750 0.500 Sr
0.647 0.125 0.250 Ag
0.103 0.625 0.250 Ag
0.375 0.353 0.750 Ag
0.875 0.897 0.750 Ag
```

**DFT formation energy**: 0.079 eV/atom
**Calculated volume**: 249 Å³/cell
**SG**: I-42d
**Electronic total energy**: -3.38 eV per atom
**Relative energy among the computed polymorphs**: 370 meV per atom



No. 3
## La2NdSm2Mg5 (PBE-GGA)

Data for a relaxed La2NdSm2Mg5 crystal.

Cell and atoms, written as POSCAR:
```
La2NdSm2Mg5
1.0
-3.673 -2.791 -2.438
7.496 -6.887 -3.408
-1.396 -5.902 8.857
La Nd Sm Mg
4 2 4 10
Direct
0.000 0.675 0.175 La
0.000 0.325 0.825 La
0.000 0.175 0.325 La
0.000 0.825 0.675 La
0.000 0.000 0.000 Nd
0.000 0.500 0.500 Nd
0.000 0.122 0.622 Sm
0.000 0.878 0.378 Sm
0.000 0.622 0.878 Sm
0.000 0.378 0.122 Sm
0.500 0.197 0.074 Mg
0.500 0.803 0.926 Mg
0.500 0.074 0.803 Mg
0.500 0.697 0.426 Mg
0.500 0.926 0.197 Mg
0.500 0.303 0.574 Mg
0.500 0.574 0.697 Mg
0.500 0.426 0.303 Mg
0.500 0.500 0.000 Mg
0.500 0.000 0.500 Mg
```

**DFT formation energy**: -0.003 eV/atom
**Calculated volume**: 601 Å³/cell
**SG**: P4/mbm
**Electronic total energy**: -3.21 eV per atom



No. 4
## ZrPdSe2 (PBE-GGA)

Data for a relaxed ZrPdSe2 crystal.

Cell and atoms, written as POSCAR:
```
ZrPdSe2
1.0
5.831 0.000 0.000
0.000 5.831 0.000
2.915 2.915 6.101
Se Zr Pd
4 2 2
Direct
0.632 0.125 0.250 Se
0.118 0.625 0.250 Se
0.375 0.368 0.750 Se
0.875 0.882 0.750 Se
0.500 0.500 0.000 Zr
0.250 0.750 0.500 Zr
0.000 0.000 0.000 Pd
0.750 0.250 0.500 Pd
```

**ΔE_f (raw)**: -684 meV/atom
**Calculated volume**: 207 Å³/cell
**SG**: I-42d
**Electronic total energy**: -5.86 eV per atom
**Relative energy among the computed polymorphs**: 267 meV per atom